i) ## Mg16Si8HO32 (SCAN)

Data for a PBEsol-optimized structure of Mg16Si8HO32.

Cell: 9.546 6.003 10.222 Å, 90.00 90.03 90.00°
Space group Pm (No. 6)
Unique sites:
Mg  0.000  0.000  0.000 (multiplicity 1)
Mg  0.003  0.250  0.276 (multiplicity 2)
Mg  0.008  0.500  0.554 (multiplicity 1)
Mg  0.250  0.500  0.053 (multiplicity 1)
Mg  0.254  0.250  0.778 (multiplicity 2)
Mg  0.257  0.000  0.501 (multiplicity 1)
Mg  0.499  0.000  0.998 (multiplicity 1)
Mg  0.504  0.250  0.276 (multiplicity 2)
Mg  0.507  0.500  0.554 (multiplicity 1)
Mg  0.749  0.500  0.053 (multiplicity 1)
Mg  0.754  0.250  0.778 (multiplicity 2)
Mg  0.761  0.000  0.500 (multiplicity 1)
Si  0.040  0.000  0.684 (multiplicity 1)
Si  0.217  0.000  0.183 (multiplicity 1)
Si  0.289  0.500  0.369 (multiplicity 1)
Si  0.467  0.500  0.871 (multiplicity 1)
Si  0.540  0.000  0.680 (multiplicity 1)
Si  0.718  0.000  0.181 (multiplicity 1)
Si  0.790  0.500  0.371 (multiplicity 1)
Si  0.967  0.500  0.871 (multiplicity 1)
H  0.496  0.000  0.487 (multiplicity 1)
O  0.115  0.000  0.831 (multiplicity 1)
O  0.115  0.218  0.614 (multiplicity 2)
O  0.118  0.500  0.367 (multiplicity 1)
O  0.138  0.500  0.869 (multiplicity 1)
O  0.142  0.000  0.331 (multiplicity 1)
O  0.142  0.218  0.114 (multiplicity 2)
O  0.363  0.284  0.440 (multiplicity 2)
O  0.365  0.500  0.223 (multiplicity 1)
O  0.369  0.000  0.689 (multiplicity 1)
O  0.388  0.000  0.186 (multiplicity 1)
O  0.392  0.283  0.941 (multiplicity 2)
O  0.393  0.500  0.724 (multiplicity 1)
O  0.614  0.000  0.829 (multiplicity 1)
O  0.618  0.222  0.616 (multiplicity 2)
O  0.619  0.500  0.369 (multiplicity 1)
O  0.638  0.500  0.870 (multiplicity 1)
O  0.642  0.218  0.113 (multiplicity 2)
O  0.646  0.000  0.329 (multiplicity 1)
O  0.864  0.500  0.223 (multiplicity 1)
O  0.866  0.282  0.440 (multiplicity 2)
O  0.870  0.000  0.685 (multiplicity 1)
O  0.888  0.000  0.183 (multiplicity 1)
O  0.892  0.282  0.941 (multiplicity 2)
O  0.893  0.500  0.723 (multiplicity 1)

Calculated values
As for the total magnetization: 1.000 μB/cell. The value obtained for the calculated volume is 585.7 Å³/f.u.

ii) ## Mg16Si8HO32 (SCAN)

Data for a PBEsol-optimized structure of Mg16Si8HO32.

Cell: 6.052 9.565 10.273 Å, 90.25 90.87 90.72°
Space group P1 (No. 1)
Unique sites:
Mg  0.000  0.000  0.000 (multiplicity 1)
Mg  0.001  0.746  0.498 (multiplicity 1)
Mg  0.045  0.231  0.489 (multiplicity 1)
Mg  0.243  0.747  0.779 (multiplicity 1)
Mg  0.248  0.246  0.779 (multiplicity 1)
Mg  0.253  0.500  0.272 (multiplicity 1)
Mg  0.261  0.997  0.273 (multiplicity 1)
Mg  0.471  0.506  0.551 (multiplicity 1)
Mg  0.497  0.991  0.557 (multiplicity 1)
Mg  0.498  0.253  0.056 (multiplicity 1)
Mg  0.501  0.752  0.053 (multiplicity 1)
Mg  0.743  0.748  0.776 (multiplicity 1)
Mg  0.750  0.242  0.790 (multiplicity 1)
Mg  0.754  0.499  0.277 (multiplicity 1)
Mg  0.759  0.996  0.273 (multiplicity 1)
Mg  0.996  0.503  0.999 (multiplicity 1)
Si  0.002  0.284  0.181 (multiplicity 1)
Si  0.003  0.784  0.182 (multiplicity 1)
Si  0.495  0.533  0.871 (multiplicity 1)
Si  0.496  0.032  0.874 (multiplicity 1)
Si  0.506  0.714  0.369 (multiplicity 1)
Si  0.514  0.215  0.370 (multiplicity 1)
Si  0.992  0.461  0.682 (multiplicity 1)
Si  0.996  0.962  0.683 (multiplicity 1)
H  0.733  0.305  0.555 (multiplicity 1)
O  0.001  0.613  0.184 (multiplicity 1)
O  0.006  0.859  0.329 (multiplicity 1)
O  0.007  0.113  0.186 (multiplicity 1)
O  0.007  0.359  0.329 (multiplicity 1)
O  0.195  0.385  0.606 (multiplicity 1)
O  0.210  0.886  0.614 (multiplicity 1)
O  0.218  0.359  0.112 (multiplicity 1)
O  0.220  0.859  0.113 (multiplicity 1)
O  0.280  0.608  0.940 (multiplicity 1)
O  0.282  0.108  0.942 (multiplicity 1)
O  0.285  0.641  0.437 (multiplicity 1)
O  0.305  0.130  0.438 (multiplicity 1)
O  0.488  0.607  0.724 (multiplicity 1)
O  0.496  0.362  0.870 (multiplicity 1)
O  0.496  0.861  0.870 (multiplicity 1)
O  0.497  0.107  0.727 (multiplicity 1)
O  0.499  0.385  0.369 (multiplicity 1)
O  0.504  0.638  0.222 (multiplicity 1)
O  0.511  0.885  0.368 (multiplicity 1)
O  0.516  0.137  0.225 (multiplicity 1)
O  0.715  0.107  0.944 (multiplicity 1)
O  0.715  0.609  0.938 (multiplicity 1)
O  0.718  0.637  0.440 (multiplicity 1)
O  0.731  0.157  0.452 (multiplicity 1)
O  0.746  0.387  0.620 (multiplicity 1)
O  0.777  0.886  0.613 (multiplicity 1)
O  0.785  0.359  0.113 (multiplicity 1)
O  0.787  0.858  0.112 (multiplicity 1)
O  0.989  0.630  0.682 (multiplicity 1)
O  0.995  0.386  0.827 (multiplicity 1)
O  0.997  0.887  0.830 (multiplicity 1)
O  0.999  0.133  0.685 (multiplicity 1)

Calculated values
As for the total magnetization: 0.000 μB/cell. The value obtained for the calculated volume is 594.6 Å³/f.u.

Last place for stability: ii)

i) ## MgH2Pd2 (SCAN)

Data for a PBEsol-optimized structure of MgH2Pd2.

Cell: 5.597 5.597 3.507 Å, 90.00 90.00 90.00°
Space group P4/mbm (No. 127)
Unique sites:
Mg  0.000  0.000  0.000 (multiplicity 2)
H  0.153  0.347  0.000 (multiplicity 4)
Pd  0.172  0.328  0.500 (multiplicity 4)

Calculated values
As for the total magnetization: 0.000 μB/cell. The value obtained for the calculated volume is 54.9 Å³/f.u.

ii) ## MgH2Pd2 (SCAN)

Data for a PBEsol-optimized structure of MgH2Pd2.

Cell: 3.305 3.305 9.621 Å, 90.00 90.00 90.00°
Space group I4/mmm (No. 139)
Unique sites:
Mg  0.000  0.000  0.000 (multiplicity 2)
H  0.000  0.500  0.250 (multiplicity 4)
Pd  0.000  0.000  0.344 (multiplicity 4)

Calculated values
As for the total magnetization: 0.000 μB/cell. The value obtained for the calculated volume is 52.5 Å³/f.u.

Last place for stability: i)

i) ## Mg2SbH2 (SCAN)

Data for a PBEsol-optimized structure of Mg2SbH2.

Cell: 7.203 7.203 2.930 Å, 90.00 90.00 90.00°
Space group P4/mbm (No. 127)
Unique sites:
Mg  0.138  0.362  0.000 (multiplicity 4)
Sb  0.000  0.000  0.500 (multiplicity 2)
H  0.101  0.601  0.500 (multiplicity 4)

Calculated values
As for the total magnetization: 0.000 μB/cell. The value obtained for the calculated volume is 76.0 Å³/f.u.

ii) ## Mg2SbH2 (SCAN)

Data for a PBEsol-optimized structure of Mg2SbH2.

Cell: 3.454 3.454 11.945 Å, 90.00 90.00 90.00°
Space group I4/mmm (No. 139)
Unique sites:
Mg  0.000  0.000  0.160 (multiplicity 4)
Sb  0.000  0.000  0.500 (multiplicity 2)
H  0.000  0.500  0.250 (multiplicity 4)

Calculated values
As for the total magnetization: 0.000 μB/cell. The value obtained for the calculated volume is 71.3 Å³/f.u.

Last place for stability: i)

i) ## Mg3SnH (SCAN)

Data for a PBEsol-optimized structure of Mg3SnH.

Cell: 4.436 4.436 4.436 Å, 90.00 90.00 90.00°
Space group Pm-3m (No. 221)
Unique sites:
Mg  0.000  0.000  0.500 (multiplicity 3)
Sn  0.500  0.500  0.500 (multiplicity 1)
H  0.000  0.000  0.000 (multiplicity 1)

Calculated values
As for the total magnetization: 0.000 μB/cell. The value obtained for the calculated volume is 87.3 Å³/f.u.

ii) ## Mg3SnH (SCAN)

Data for a PBEsol-optimized structure of Mg3SnH.

Cell: 5.379 5.379 5.379 Å, 90.00 90.00 90.00°
Space group Pm-3m (No. 221)
Unique sites:
Mg  0.000  0.000  0.500 (multiplicity 3)
Sn  0.000  0.000  0.000 (multiplicity 1)
H  0.500  0.500  0.500 (multiplicity 1)

Calculated values
As for the total magnetization: 0.000 μB/cell. The value obtained for the calculated volume is 155.6 Å³/f.u.

Last place for stability: ii)

i) ## MnPH3 (SCAN)

Data for a PBEsol-optimized structure of MnPH3.

Cell: 3.450 3.450 3.450 Å, 90.00 90.00 90.00°
Space group Pm-3m (No. 221)
Unique sites:
Mn  0.000  0.000  0.000 (multiplicity 1)
P  0.500  0.500  0.500 (multiplicity 1)
H  0.000  0.500  0.500 (multiplicity 3)

Calculated values
As for the total magnetization: 4.550 μB/cell. The value obtained for the calculated volume is 41.1 Å³/f.u.

ii) ## MnPH3 (SCAN)

Data for a PBEsol-optimized structure of MnPH3.

Cell: 3.268 3.268 3.268 Å, 90.00 90.00 90.00°
Space group Pm-3m (No. 221)
Unique sites:
Mn  0.000  0.000  0.000 (multiplicity 1)
P  0.500  0.500  0.500 (multiplicity 1)
H  0.000  0.000  0.500 (multiplicity 3)

Calculated values
As for the total magnetization: 2.217 μB/cell. The value obtained for the calculated volume is 34.9 Å³/f.u.

Last place for stability: i)